First-principles (GGA-PBEsol) data for a relaxed BaSrMg2Zn crystal, as listed in the Alexandria database.

Unit cell a=5.642 b=6.070 c=6.070 alpha=90.00 beta=90.00 gamma=90.00
Element x y z (fractional)
Mg (0.000, 0.500, 0.000)
Mg (0.000, 0.000, 0.500)
Zn (0.500, 0.000, 0.000)
Sr (0.000, 0.000, 0.000)
Ba (0.500, 0.500, 0.500)

* SG: P4/mmm
* M_tot: 0.0 μB/f.u.
* DFT formation energy: 0.5235 eV per atom
* volume: 41.57 A^3/atom
* final energy: -6.39 eV per cell